[1]
GdTmGe2Os: optimized geometry, PBE.

Summary:
SG	C2/m (12)
theoretical density	10.7	Mg/m³
E_tot	-66.2	eV for the cell shown

Cell: 5.7737 5.7737 10.1301 Å, 115.73 115.73 43.70°
Fractional positions:
Gd  0.6855  0.6855  0.1137
Gd  0.3145  0.3145  0.8863
Ge  0.9883  0.9883  0.1273
Ge  0.8586  0.8586  0.4372
Ge  0.1414  0.1414  0.5628
Ge  0.0117  0.0117  0.8727
Os  0.2304  0.2304  0.3706
Os  0.7696  0.7696  0.6294
Tm  0.4992  0.4992  0.3278
Tm  0.5008  0.5008  0.6722

[2]
CdCoSnAu: optimized geometry, PBE.

Summary:
SG	F-43m (216)
theoretical density	11.2	Mg/m³
E_tot	-14.6	eV for the cell shown
offset from the most stable computed form	0	meV per atom

Cell: 4.6712 4.6712 4.6712 Å, 60.00 60.00 60.00°
Last column: magnetic moment on the atom in μB.
Fractional positions:
Au  0.2500  0.2500  0.2500  0.02
Cd  0.5000  0.5000  0.5000  -0.01
Co  0.7500  0.7500  0.7500  1.09
Sn  0.0000  0.0000  0.0000  0.00

[3]
HfZr2Al: optimized geometry, PBE.

Summary:
SG	F-43m (216)
theoretical density	7.7	Mg/m³
E_tot	-31.1	eV for the cell shown

Cell: 4.9065 4.9065 4.9065 Å, 60.00 60.00 60.00°
Last column: magnetic moment on the atom in μB.
Fractional positions:
Al  0.5000  0.5000  0.5000  -0.01
Hf  0.2500  0.2500  0.2500  0.12
Zr  0.0000  0.0000  0.0000  0.46
Zr  0.7500  0.7500  0.7500  0.11

no.,magnetization (μB per cell)
1,0.00
2,1.07
3,0.95